[1]
PrNdNO: optimized geometry, PBE.

Unit cell a=3.627 b=3.627 c=5.127 alpha=90.00 beta=90.00 gamma=90.00
Space group P4/mmm (No. 123)
Inequivalent atoms, fractional coordinates:
Pr (0.000, 0.000, 0.000) (multiplicity 1)
Nd (0.500, 0.500, 0.500) (multiplicity 1)
N (0.000, 0.000, 0.500) (multiplicity 1)
O (0.500, 0.500, 0.000) (multiplicity 1)

Summary:
volume	67.5	Å³/cell
formation energy without anion corrections	-2099	meV per atom
ρ	7.8	g/cm3

***

[2]
La3HoCo: optimized geometry, PBE.

Unit cell a=12.336 b=3.749 c=14.336 alpha=90.00 beta=114.51 gamma=90.00
Space group Cm (No. 8)
Inequivalent atoms, fractional coordinates:
La (0.000, 0.000, 0.000) (multiplicity 2)
La (0.011, 0.000, 0.641) (multiplicity 2)
La (0.060, 0.500, 0.249) (multiplicity 2)
La (0.173, 0.500, 0.521) (multiplicity 2)
La (0.342, 0.000, 0.759) (multiplicity 2)
La (0.354, 0.000, 0.391) (multiplicity 2)
Ho (0.188, 0.500, 0.886) (multiplicity 2)
Ho (0.294, 0.500, 0.143) (multiplicity 2)
Co (0.349, 0.000, 0.028) (multiplicity 2)
Co (0.496, 0.500, 0.356) (multiplicity 2)

Summary:
volume	603.2	Å³/cell
formation enthalpy at 0 K	-0.077	eV/atom
excess energy over the best structure of this formula in the dataset	0.000	eV per atom
ρ	7.1	g/cm3

***

[3]
Ag2HgSe: optimized geometry, PBE.

Unit cell a=3.0767 b=3.0767 c=30.6044 alpha=90.00 beta=90.00 gamma=120.00
Space group R3m (No. 160, hexagonal axes)
Inequivalent atoms, fractional coordinates:
Ag (0.0000, 0.0000, 0.0000) (multiplicity 3)
Ag (0.0000, 0.0000, 0.2582) (multiplicity 3)
Hg (0.0000, 0.0000, 0.7479) (multiplicity 3)
Se (0.0000, 0.0000, 0.5185) (multiplicity 3)

Summary:
volume	250.9	Å³/cell
formation energy without anion corrections	147	meV per atom
excess energy over the best structure of this formula in the dataset	0.148	eV per atom
ρ	9.8	g/cm3

***

[4]
Zr2NiAs: optimized geometry, PBE.

Unit cell a=3.689 b=3.689 c=5.526 alpha=90.00 beta=90.00 gamma=90.00
Space group P4mm (No. 99)
Inequivalent atoms, fractional coordinates:
Zr (0.000, 0.000, 0.000) (multiplicity 1)
Zr (0.500, 0.500, 0.347) (multiplicity 1)
Ni (0.500, 0.500, 0.835) (multiplicity 1)
As (0.000, 0.000, 0.508) (multiplicity 1)

Summary:
volume	75.2	Å³/cell
formation enthalpy at 0 K	-0.519	eV/atom
ρ	7.0	g/cm3

***

[5]
Ce3Nd2NpN6: optimized geometry, PBE.

Unit cell a=6.194 b=10.712 c=6.177 alpha=90.00 beta=109.56 gamma=90.00
Space group C2/m (No. 12)
Inequivalent atoms, fractional coordinates:
Ce (0.000, 0.000, 0.000) (multiplicity 2)
Ce (0.000, 0.333, 0.000) (multiplicity 4)
Nd (0.000, 0.166, 0.500) (multiplicity 4)
Np (0.000, 0.500, 0.500) (multiplicity 2)
N (0.226, 0.500, 0.250) (multiplicity 4)
N (0.235, 0.347, 0.746) (multiplicity 8)

Summary:
volume	386.2	Å³/cell
formation energy without anion corrections	-1394	meV per atom
ρ	8.9	g/cm3

***

[6]
InTc2As: optimized geometry, PBE.

Unit cell a=3.135 b=4.138 c=10.392 alpha=90.00 beta=90.00 gamma=90.00
Space group Imm2 (No. 44)
Inequivalent atoms, fractional coordinates:
In (0.000, 0.000, 0.000) (multiplicity 2)
Tc (0.000, 0.000, 0.435) (multiplicity 2)
Tc (0.000, 0.500, 0.192) (multiplicity 2)
As (0.000, 0.500, 0.750) (multiplicity 2)

Summary:
volume	134.8	Å³/cell
formation enthalpy at 0 K	0.226	eV/atom
excess energy over the best structure of this formula in the dataset	0.192	eV per atom
ρ	9.5	g/cm3

***

[7]
MoRhCBr2: optimized geometry, PBE.

Unit cell a=5.331 b=5.331 c=3.792 alpha=90.00 beta=90.00 gamma=90.00
Space group P4/mmm (No. 123)
Inequivalent atoms, fractional coordinates:
Mo (0.000, 0.000, 0.000) (multiplicity 1)
Rh (0.500, 0.500, 0.500) (multiplicity 1)
C (0.500, 0.500, 0.000) (multiplicity 1)
Br (0.000, 0.500, 0.500) (multiplicity 2)

Summary:
volume	107.8	Å³/cell
formation energy without anion corrections	1200	meV per atom
ρ	5.7	g/cm3

***

[8]
HI: optimized geometry, PBE.

Unit cell a=10.6832 b=10.6832 c=4.6777 alpha=90.00 beta=90.00 gamma=120.00
Space group P6_3/m (No. 176)
Inequivalent atoms, fractional coordinates:
H (0.1479, 0.3497, 0.2500) (multiplicity 6)
I (0.0767, 0.6812, 0.2500) (multiplicity 6)

Summary:
volume	462.3	Å³/cell
uncorrected energy	-2.415	eV per atom
ρ	2.8	g/cm3

***

[9]
SrCdSn3: optimized geometry, PBE.

Unit cell a=6.096 b=6.096 c=6.096 alpha=90.00 beta=90.00 gamma=90.00
Space group Pm-3m (No. 221)
Inequivalent atoms, fractional coordinates:
Sr (0.000, 0.000, 0.000) (multiplicity 1)
Cd (0.500, 0.500, 0.500) (multiplicity 1)
Sn (0.000, 0.000, 0.500) (multiplicity 3)

Summary:
volume	226.6	Å³/cell
formation enthalpy at 0 K	0.834	eV/atom
excess energy over the best structure of this formula in the dataset	1.055	eV per atom
ρ	4.1	g/cm3

***

[10]
CdTc: optimized geometry, PBE.

Unit cell a=2.980 b=16.742 c=2.970 alpha=90.00 beta=90.00 gamma=90.00
Space group Cmcm (No. 63)
Inequivalent atoms, fractional coordinates:
Cd (0.000, 0.080, 0.250) (multiplicity 4)
Tc (0.000, 0.292, 0.250) (multiplicity 4)

Summary:
volume	148.2	Å³/cell
formation enthalpy at 0 K	0.139	eV/atom
excess energy over the best structure of this formula in the dataset	0.027	eV per atom
ρ	9.4	g/cm3

***

[11]
Sr8Cd2Pt: optimized geometry, PBE.

Unit cell a=14.053 b=10.396 c=7.317 alpha=90.00 beta=108.73 gamma=90.00
Space group C2/m (No. 12)
Inequivalent atoms, fractional coordinates:
Sr (0.088, 0.000, 0.302) (multiplicity 4)
Sr (0.128, 0.500, 0.246) (multiplicity 4)
Sr (0.141, 0.304, 0.742) (multiplicity 8)
Cd (0.173, 0.000, 0.912) (multiplicity 4)
Pt (0.000, 0.500, 0.500) (multiplicity 2)

Summary:
volume	1012.3	Å³/cell
formation enthalpy at 0 K	-0.279	eV/atom
ρ	3.7	g/cm3

***

[12]
Cs2MgIn2: optimized geometry, PBE.

Unit cell a=11.647 b=11.647 c=3.648 alpha=90.00 beta=90.00 gamma=90.00
Space group P4/mbm (No. 127)
Inequivalent atoms, fractional coordinates:
Cs (0.201, 0.299, 0.000) (multiplicity 4)
Mg (0.000, 0.000, 0.000) (multiplicity 2)
In (0.088, 0.588, 0.500) (multiplicity 4)

Summary:
volume	494.8	Å³/cell
formation enthalpy at 0 K	0.285	eV/atom
excess energy over the best structure of this formula in the dataset	0.201	eV per atom
ρ	3.5	g/cm3

***

[13]
NbMoPt2W: optimized geometry, PBE.

Unit cell a=4.850 b=4.850 c=4.699 alpha=90.00 beta=90.00 gamma=90.00
Space group P4/mmm (No. 123)
Inequivalent atoms, fractional coordinates:
Nb (0.000, 0.000, 0.000) (multiplicity 1)
Mo (0.500, 0.500, 0.000) (multiplicity 1)
Pt (0.000, 0.500, 0.500) (multiplicity 2)
W (0.000, 0.000, 0.500) (multiplicity 1)

Summary:
volume	110.5	Å³/cell
formation enthalpy at 0 K	1.519	eV/atom
ρ	11.5	g/cm3

***

[14]
Si2TcAs: optimized geometry, PBE.

Unit cell a=3.0328 b=3.0328 c=23.3496 alpha=90.00 beta=90.00 gamma=120.00
Space group R-3m (No. 166, hexagonal axes)
Inequivalent atoms, fractional coordinates:
Si (0.0000, 0.0000, 0.2416) (multiplicity 6)
Tc (0.0000, 0.0000, 0.5000) (multiplicity 3)
As (0.0000, 0.0000, 0.0000) (multiplicity 3)

Summary:
volume	186.0	Å³/cell
formation energy without anion corrections	97	meV per atom
ρ	6.1	g/cm3

***

[15]
ScCdIO6: optimized geometry, PBE.

Unit cell a=5.3732 b=5.3732 c=9.5798 alpha=90.00 beta=90.00 gamma=120.00
Space group P-31c (No. 163)
Inequivalent atoms, fractional coordinates:
Sc (0.3333, 0.6667, 0.2500) (multiplicity 2)
Cd (0.0000, 0.0000, 0.0000) (multiplicity 2)
I (0.3333, 0.6667, 0.7500) (multiplicity 2)
O (0.0299, 0.3816, 0.6388) (multiplicity 12)

Summary:
volume	239.5	Å³/cell
formation energy without anion corrections	-1382	meV per atom
ρ	5.3	g/cm3

***

[16]
ErScBi: optimized geometry, PBE.

Unit cell a=5.0040 b=5.0040 c=3.8465 alpha=90.00 beta=90.00 gamma=120.00
Space group P3m1 (No. 156)
Inequivalent atoms, fractional coordinates:
Er (0.0000, 0.0000, 0.0000) (multiplicity 1)
Sc (0.3333, 0.6667, 0.5319) (multiplicity 1)
Bi (0.6667, 0.3333, 0.3820) (multiplicity 1)

Summary:
volume	83.4	Å³/cell
formation enthalpy at 0 K	-0.249	eV/atom
ρ	8.4	g/cm3

***

[17]
ZrAlIr: optimized geometry, PBE.

Unit cell a=8.279 b=5.384 c=9.225 alpha=90.00 beta=90.00 gamma=90.00
Space group Amm2 (No. 38)
Inequivalent atoms, fractional coordinates:
Zr (0.178, 0.000, 0.000) (multiplicity 4)
Zr (0.292, 0.000, 0.335) (multiplicity 4)
Al (0.246, 0.000, 0.676) (multiplicity 4)
Al (0.500, 0.242, 0.082) (multiplicity 4)
Ir (0.000, 0.000, 0.504) (multiplicity 2)
Ir (0.000, 0.247, 0.254) (multiplicity 4)
Ir (0.500, 0.000, 0.839) (multiplicity 2)

Summary:
volume	411.3	Å³/cell
formation enthalpy at 0 K	-0.815	eV/atom
ρ	10.0	g/cm3

***

[18]
Li4Cd2In: optimized geometry, PBE.

Unit cell a=4.473 b=4.473 c=14.549 alpha=90.00 beta=90.00 gamma=90.00
Space group I4/mmm (No. 139)
Inequivalent atoms, fractional coordinates:
Li (0.000, 0.500, 0.120) (multiplicity 8)
Cd (0.000, 0.000, 0.244) (multiplicity 4)
In (0.000, 0.000, 0.000) (multiplicity 2)

Summary:
volume	291.2	Å³/cell
formation enthalpy at 0 K	-0.145	eV/atom
excess energy over the best structure of this formula in the dataset	0.000	eV per atom
ρ	4.2	g/cm3

***

[19]
Ag2HgSe: optimized geometry, PBE.

Unit cell a=3.795 b=3.795 c=5.836 alpha=90.00 beta=90.00 gamma=90.00
Space group P4mm (No. 99)
Inequivalent atoms, fractional coordinates:
Ag (0.000, 0.000, 0.000) (multiplicity 1)
Ag (0.500, 0.500, 0.266) (multiplicity 1)
Hg (0.000, 0.000, 0.495) (multiplicity 1)
Se (0.500, 0.500, 0.810) (multiplicity 1)

Summary:
volume	84.1	Å³/cell
formation energy without anion corrections	27	meV per atom
excess energy over the best structure of this formula in the dataset	0.028	eV per atom
ρ	9.8	g/cm3

***

[20]
U2OsRh: optimized geometry, PBE.

Unit cell a=4.211 b=4.211 c=4.115 alpha=90.00 beta=90.00 gamma=90.00
Space group P4/mmm (No. 123)
Inequivalent atoms, fractional coordinates:
U (0.000, 0.500, 0.000) (multiplicity 2)
Os (0.000, 0.000, 0.500) (multiplicity 1)
Rh (0.500, 0.500, 0.500) (multiplicity 1)

Summary:
volume	73.0	Å³/cell
formation enthalpy at 0 K	-0.146	eV/atom
ρ	17.5	g/cm3

***

[21]
Ca7In2Hg2: optimized geometry, PBE.

Unit cell a=8.166 b=11.816 c=7.946 alpha=90.00 beta=90.00 gamma=90.00
Space group Cmmm (No. 65)
Inequivalent atoms, fractional coordinates:
Ca (0.000, 0.000, 0.000) (multiplicity 2)
Ca (0.000, 0.500, 0.253) (multiplicity 4)
Ca (0.250, 0.250, 0.280) (multiplicity 8)
In (0.174, 0.000, 0.500) (multiplicity 4)
Hg (0.000, 0.292, 0.000) (multiplicity 4)

Summary:
volume	766.7	Å³/cell
formation enthalpy at 0 K	-0.245	eV/atom
ρ	3.9	g/cm3

***

[22]
Pr6Pb2N: optimized geometry, PBE.

Unit cell a=10.225 b=10.225 c=10.225 alpha=90.00 beta=90.00 gamma=90.00
Space group Fm-3m (No. 225)
Inequivalent atoms, fractional coordinates:
Pr (0.000, 0.000, 0.245) (multiplicity 24)
Pb (0.250, 0.250, 0.250) (multiplicity 8)
N (0.000, 0.000, 0.000) (multiplicity 4)

Summary:
volume	1069.1	Å³/cell
formation energy without anion corrections	-555	meV per atom
excess energy over the best structure of this formula in the dataset	0.000	eV per atom
ρ	7.9	g/cm3

***

[23]
Ta2TcPt2: optimized geometry, PBE.

Unit cell a=4.066 b=4.066 c=11.478 alpha=90.00 beta=90.00 gamma=90.00
Space group I4/mmm (No. 139)
Inequivalent atoms, fractional coordinates:
Ta (0.000, 0.500, 0.250) (multiplicity 4)
Tc (0.000, 0.000, 0.000) (multiplicity 2)
Pt (0.000, 0.000, 0.393) (multiplicity 4)

Summary:
volume	189.7	Å³/cell
formation enthalpy at 0 K	0.267	eV/atom
excess energy over the best structure of this formula in the dataset	0.525	eV per atom
ρ	14.9	g/cm3

***

[24]
BeGa2Re: optimized geometry, PBE.

Unit cell a=6.827 b=6.827 c=4.895 alpha=90.00 beta=90.00 gamma=90.00
Space group I-42d (No. 122)
Inequivalent atoms, fractional coordinates:
Be (0.000, 0.000, 0.000) (multiplicity 4)
Ga (0.211, 0.750, 0.125) (multiplicity 8)
Re (0.000, 0.000, 0.500) (multiplicity 4)

Summary:
volume	228.2	Å³/cell
formation enthalpy at 0 K	0.574	eV/atom
ρ	9.7	g/cm3

***

[25]
LiIn2WN4: optimized geometry, PBE.

Unit cell a=4.969 b=4.969 c=9.736 alpha=90.00 beta=90.00 gamma=90.00
Space group I-42m (No. 121)
Inequivalent atoms, fractional coordinates:
Li (0.000, 0.000, 0.000) (multiplicity 2)
In (0.000, 0.500, 0.250) (multiplicity 4)
W (0.000, 0.000, 0.500) (multiplicity 2)
N (0.222, 0.222, 0.388) (multiplicity 8)

Summary:
volume	240.4	Å³/cell
formation energy without anion corrections	-170	meV per atom
ρ	6.6	g/cm3